# ZnCuBOs | OQMD | GGA-PBE | optimized geometry
# VASP energy = -18.6 eV/f.u.
# relative energy among the computed polymorphs = 514.4 meV/atom
data_ZnCuBOs
_chemical_formula_sum 'Zn4 Cu4 B4 Os4'
_symmetry_space_group_name_H-M 'F -4 3 m'
_symmetry_Int_Tables_number 216
_symmetry_space_group_name_Hall 'F -4 2 3'
_cell_length_a 5.795
_cell_length_b 5.795
_cell_length_c 5.795
_cell_angle_alpha 90.00
_cell_angle_beta 90.00
_cell_angle_gamma 90.00
loop_
_atom_site_label
_atom_site_type_symbol
_atom_site_fract_x
_atom_site_fract_y
_atom_site_fract_z
Zn1 Zn 0.000 0.000 0.000
Cu1 Cu 0.000 0.000 0.500
B1 B 0.250 0.250 0.250
Os1 Os 0.250 0.250 0.750